#i
Density functional theory data (PBE-GGA) for an optimized crystal structure of NaBi3Te4.

Cell lengths 6.456, 12.844, 6.510 Å; angles 90.00, 90.00, 90.00 degrees
Fractional positions:
Na 0.250 0.250 0.234
Na 0.750 0.750 0.766
Bi 0.250 0.000 0.758
Bi 0.250 0.500 0.758
Bi 0.250 0.750 0.267
Bi 0.750 0.000 0.242
Bi 0.750 0.250 0.733
Bi 0.750 0.500 0.242
Te 0.250 0.250 0.736
Te 0.250 0.506 0.273
Te 0.250 0.750 0.782
Te 0.250 0.994 0.273
Te 0.750 0.006 0.727
Te 0.750 0.250 0.218
Te 0.750 0.494 0.727
Te 0.750 0.750 0.264

M_tot   0.000 μB/atom
N(E_F)   8.4 states/eV per cell

***

#ii
Density functional theory data (PBE-GGA) for an optimized crystal structure of NaBi3Te4.

Cell lengths 7.941, 7.941, 4.563 Å; angles 90.00, 90.00, 108.27 degrees
Fractional positions:
Na 0.000 0.000 0.000
Bi 0.000 0.500 0.500
Bi 0.500 0.000 0.500
Bi 0.500 0.500 0.000
Te 0.253 0.747 0.000
Te 0.260 0.260 0.500
Te 0.740 0.740 0.500
Te 0.747 0.253 0.000

M_tot   0.000 μB/atom
N(E_F)   4.2 states/eV per cell

***

Quick ranking, most stable first: #i, #ii.